1.
# PBE-GGA ZrBrCl2, relaxed
# Distance to the lowest polymorph of the same formula ... 1.30 kcal/mol of atoms
data_ZrBrCl2
_space_group_name_H-M_alt 'P 1 m 1'
_space_group_IT_number 6
_space_group_name_Hall 'P -2y'
_cell_length_a 6.3270
_cell_length_b 3.4396
_cell_length_c 7.1654
_cell_angle_alpha 90.00
_cell_angle_beta 116.05
_cell_angle_gamma 90.00
loop_
_atom_site_label
_atom_site_fract_x
_atom_site_fract_y
_atom_site_fract_z
Zr1 0.0000 0.0000 0.0000
Br1 0.2678 0.5000 0.2970
Cl1 0.6259 0.0000 0.9935
Cl2 0.9878 0.5000 0.7304



2.
# PBE-GGA Cr4N, relaxed
# DFT total energy ... -380.769 eV/cell
data_Cr4N
_space_group_name_H-M_alt 'F d d 2'
_space_group_IT_number 43
_space_group_name_Hall 'F 2 -2d'
_cell_length_a 8.5935
_cell_length_b 9.3355
_cell_length_c 5.2832
_cell_angle_alpha 90.00
_cell_angle_beta 90.00
_cell_angle_gamma 90.00
loop_
_atom_site_label
_atom_site_fract_x
_atom_site_fract_y
_atom_site_fract_z
Cr1 0.1183 0.3314 0.0000
Cr2 0.1223 0.3293 0.5200
N1 0.0000 0.0000 0.0063



3.
# PBE-GGA AcThMgAg, relaxed
# Calculated formation energy ... 0.04 eV/atom
data_AcThMgAg
_space_group_name_H-M_alt 'F -4 3 m'
_space_group_IT_number 216
_space_group_name_Hall 'F -4 2 3'
_cell_length_a 7.8143
_cell_length_b 7.8143
_cell_length_c 7.8143
_cell_angle_alpha 90.00
_cell_angle_beta 90.00
_cell_angle_gamma 90.00
loop_
_atom_site_label
_atom_site_fract_x
_atom_site_fract_y
_atom_site_fract_z
Ac1 0.0000 0.0000 0.0000
Th1 0.0000 0.0000 0.5000
Mg1 0.2500 0.2500 0.2500
Ag1 0.2500 0.2500 0.7500



4.
# PBE-GGA Y3Co2, relaxed
# Calculated formation energy ... -0.14 eV/atom
# Distance to the lowest polymorph of the same formula ... 0.82 kcal/mol of atoms
data_Y3Co2
_space_group_name_H-M_alt 'C m m m'
_space_group_IT_number 65
_space_group_name_Hall '-C 2 2'
_cell_length_a 3.8998
_cell_length_b 14.4909
_cell_length_c 4.0413
_cell_angle_alpha 90.00
_cell_angle_beta 90.00
_cell_angle_gamma 90.00
loop_
_atom_site_label
_atom_site_fract_x
_atom_site_fract_y
_atom_site_fract_z
Y1 0.0000 0.0000 0.0000
Y2 0.0000 0.3509 0.5000
Co1 0.0000 0.2076 0.0000



| no. | total magnetization (μB/cell) |
| --- | --- |
| 1 | 0.00 |
| 2 | 0.00 |
| 3 | 0.01 |
| 4 | 2.03 |